[1]
Below is an optimized crystal structure of Zr2GeHF, with properties calculated at the PBE-GGA level.

a b c (Å): 5.279 5.279 3.265
angles (deg): 90.00 90.00 90.00
Space group P4/mmm (No. 123)
Symmetry-distinct sites (fractional):
Zr (0.000, 0.500, 0.000) [2 per cell]
Ge (0.000, 0.000, 0.000) [1 per cell]
H (0.000, 0.000, 0.500) [1 per cell]
F (0.500, 0.500, 0.500) [1 per cell]

Calculated values
Fermi-level density of states ... 3.40 states/eV/cell
Electronic total energy ... -5.3022 eV per atom

[2]
Below is an optimized crystal structure of Hf2GeF11, with properties calculated at the PBE-GGA level.

a b c (Å): 7.849 9.770 10.417
angles (deg): 90.00 90.00 90.00
Space group Ibam (No. 72)
Symmetry-distinct sites (fractional):
Hf (0.120, 0.189, 0.000) [8 per cell]
Ge (0.000, 0.500, 0.250) [4 per cell]
F (0.000, 0.000, 0.000) [4 per cell]
F (0.081, 0.363, 0.129) [16 per cell]
F (0.140, 0.218, 0.500) [8 per cell]
F (0.222, 0.105, 0.151) [16 per cell]

Calculated values
Fermi-level density of states ... 4.86 states/eV/cell
Formation energy (no corrections) ... -45.04 eV/f.u.
Electronic total energy ... -6.4392 eV per atom

[3]
Below is an optimized crystal structure of Hf2GeF, with properties calculated at the PBE-GGA level.

a b c (Å): 6.458 6.458 6.458
angles (deg): 90.00 90.00 90.00
Space group Fm-3m (No. 225)
Symmetry-distinct sites (fractional):
Hf (0.250, 0.250, 0.250) [8 per cell]
Ge (0.000, 0.000, 0.000) [4 per cell]
F (0.000, 0.000, 0.500) [4 per cell]

Calculated values
Fermi-level density of states ... 11.15 states/eV/cell
Formation energy (no corrections) ... -3.48 eV/f.u.
Energy above the lowest structure with this stoichiometry ... 0 kJ/mol of formula units
Electronic total energy ... -7.4694 eV per atom

[4]
Below is an optimized crystal structure of HfGeF, with properties calculated at the PBE-GGA level.

a b c (Å): 9.921 3.185 7.007
angles (deg): 90.00 114.03 90.00
Space group C2/m (No. 12)
Symmetry-distinct sites (fractional):
Hf (0.181, 0.000, 0.232) [4 per cell]
Ge (0.068, 0.500, 0.864) [4 per cell]
F (0.177, 0.000, 0.553) [4 per cell]

Calculated values
Fermi-level density of states ... 4.08 states/eV/cell
Formation energy (no corrections) ... -4.74 eV/f.u.
Electronic total energy ... -7.0601 eV per atom

[5]
Below is an optimized crystal structure of HfGeF3, with properties calculated at the PBE-GGA level.

a b c (Å): 4.279 4.279 4.279
angles (deg): 90.00 90.00 90.00
Space group Pm-3m (No. 221)
Symmetry-distinct sites (fractional):
Hf (0.000, 0.000, 0.000) [1 per cell]
Ge (0.500, 0.500, 0.500) [1 per cell]
F (0.000, 0.000, 0.500) [3 per cell]

Calculated values
Fermi-level density of states ... 4.38 states/eV/cell
Formation energy (no corrections) ... -9.54 eV/f.u.
Energy above the lowest structure with this stoichiometry ... 0 kJ/mol of formula units
Electronic total energy ... -5.9449 eV per atom

[6]
Below is an optimized crystal structure of Hf2Ge2F, with properties calculated at the PBE-GGA level.

a b c (Å): 7.844 7.844 3.084
angles (deg): 90.00 90.00 90.00
Space group P4/mbm (No. 127)
Symmetry-distinct sites (fractional):
Hf (0.173, 0.327, 0.000) [4 per cell]
Ge (0.125, 0.625, 0.500) [4 per cell]
F (0.000, 0.000, 0.500) [2 per cell]

Calculated values
Fermi-level density of states ... 6.98 states/eV/cell
Formation energy (no corrections) ... -2.59 eV/f.u.
Energy above the lowest structure with this stoichiometry ... 0 kJ/mol of formula units
Electronic total energy ... -6.7213 eV per atom

[7]
Below is an optimized crystal structure of HfGeF3, with properties calculated at the PBE-GGA level.

a b c (Å): 4.428 4.428 4.428
angles (deg): 90.00 90.00 90.00
Space group Pm-3m (No. 221)
Symmetry-distinct sites (fractional):
Hf (0.000, 0.000, 0.000) [1 per cell]
Ge (0.500, 0.500, 0.500) [1 per cell]
F (0.000, 0.500, 0.500) [3 per cell]

Calculated values
Fermi-level density of states ... 3.29 states/eV/cell
Formation energy (no corrections) ... -4.39 eV/f.u.
Energy above the lowest structure with this stoichiometry ... 496 kJ/mol of formula units
Electronic total energy ... -4.9158 eV per atom

[8]
Below is an optimized crystal structure of Hf2GeF, with properties calculated at the PBE-GGA level.

a b c (Å): 4.928 4.928 13.617
angles (deg): 90.00 90.00 90.00
Space group I-42d (No. 122)
Symmetry-distinct sites (fractional):
Hf (0.179, 0.250, 0.125) [8 per cell]
Ge (0.000, 0.000, 0.500) [4 per cell]
F (0.000, 0.000, 0.000) [4 per cell]

Calculated values
Fermi-level density of states ... 12.58 states/eV/cell
Formation energy (no corrections) ... -1.92 eV/f.u.
Energy above the lowest structure with this stoichiometry ... 151 kJ/mol of formula units
Electronic total energy ... -7.0794 eV per atom

[9]
Below is an optimized crystal structure of Hf2Ge2F, with properties calculated at the PBE-GGA level.

a b c (Å): 4.957 4.957 8.792
angles (deg): 90.00 90.00 90.00
Space group I4/mmm (No. 139)
Symmetry-distinct sites (fractional):
Hf (0.000, 0.500, 0.250) [4 per cell]
Ge (0.000, 0.000, 0.139) [4 per cell]
F (0.000, 0.000, 0.500) [2 per cell]

Calculated values
Fermi-level density of states ... 7.37 states/eV/cell
Formation energy (no corrections) ... -1.89 eV/f.u.
Energy above the lowest structure with this stoichiometry ... 68 kJ/mol of formula units
Electronic total energy ... -6.5810 eV per atom

[10]
Below is an optimized crystal structure of Hf3GeF, with properties calculated at the PBE-GGA level.

a b c (Å): 4.461 4.461 4.461
angles (deg): 90.00 90.00 90.00
Space group Pm-3m (No. 221)
Symmetry-distinct sites (fractional):
Hf (0.000, 0.000, 0.500) [3 per cell]
Ge (0.500, 0.500, 0.500) [1 per cell]
F (0.000, 0.000, 0.000) [1 per cell]

Calculated values
Fermi-level density of states ... 6.78 states/eV/cell
Formation energy (no corrections) ... -2.06 eV/f.u.
Energy above the lowest structure with this stoichiometry ... 0 kJ/mol of formula units
Electronic total energy ... -7.6819 eV per atom

[11]
Below is an optimized crystal structure of KHf2GeF, with properties calculated at the PBE-GGA level.

a b c (Å): 4.563 4.563 4.810
angles (deg): 90.00 90.00 90.00
Space group P4/mmm (No. 123)
Symmetry-distinct sites (fractional):
K (0.000, 0.000, 0.000) [1 per cell]
Hf (0.000, 0.500, 0.500) [2 per cell]
Ge (0.500, 0.500, 0.000) [1 per cell]
F (0.000, 0.000, 0.500) [1 per cell]

Calculated values
Fermi-level density of states ... 4.22 states/eV/cell
Formation energy (no corrections) ... -0.74 eV/f.u.
Electronic total energy ... -5.6469 eV per atom

[12]
Below is an optimized crystal structure of LaHfGeF2, with properties calculated at the PBE-GGA level.

a b c (Å): 4.167 4.167 7.223
angles (deg): 90.00 90.00 90.00
Space group P4/mmm (No. 123)
Symmetry-distinct sites (fractional):
La (0.000, 0.000, 0.000) [1 per cell]
Hf (0.000, 0.000, 0.500) [1 per cell]
Ge (0.500, 0.500, 0.000) [1 per cell]
F (0.000, 0.500, 0.500) [2 per cell]

Calculated values
Fermi-level density of states ... 3.69 states/eV/cell
Formation energy (no corrections) ... -7.94 eV/f.u.
Electronic total energy ... -6.2358 eV per atom